Record 1
# Nd2TlReO8 (PBE, optimized geometry)
data_Nd2TlReO8
_cell_length_a 4.8980
_cell_length_b 4.9195
_cell_length_c 7.4419
_cell_angle_alpha 91.97
_cell_angle_beta 91.94
_cell_angle_gamma 94.08
_symmetry_space_group_name_H-M 'P -1'
_symmetry_Int_Tables_number 2
loop_
_symmetry_equiv_pos_as_xyz
'x,y,z'
'-x,-y,-z'
loop_
_atom_site_label
_atom_site_type_symbol
_atom_site_fract_x
_atom_site_fract_y
_atom_site_fract_z
Nd1 Nd 0.0489 0.0461 0.2604
Tl1 Tl 0.5000 0.5000 0.0000
Re1 Re 0.5000 0.5000 0.5000
O1 O 0.2002 0.2010 0.9808
O2 O 0.2199 0.2266 0.5398
O3 O 0.2786 0.6384 0.3124
O4 O 0.3635 0.7267 0.6853
# **E_form (uncorrected)**: -25.4 eV/f.u.

Record 2
# PuGaAg2O6 (PBE, optimized geometry)
data_PuGaAg2O6
_cell_length_a 9.6217
_cell_length_b 5.7023
_cell_length_c 5.5522
_cell_angle_alpha 90.00
_cell_angle_beta 125.08
_cell_angle_gamma 90.00
_symmetry_space_group_name_H-M 'C 1 2/m 1'
_symmetry_Int_Tables_number 12
loop_
_symmetry_equiv_pos_as_xyz
'x,y,z'
'-x,-y,-z'
'-x,y,-z'
'x,-y,z'
'x+1/2,y+1/2,z'
'-x+1/2,-y+1/2,-z'
'-x+1/2,y+1/2,-z'
'x+1/2,-y+1/2,z'
loop_
_atom_site_label
_atom_site_type_symbol
_atom_site_fract_x
_atom_site_fract_y
_atom_site_fract_z
Pu1 Pu 0.0000 0.0000 0.0000
Ga1 Ga 0.0000 0.5000 0.5000
Ag1 Ag 0.2478 0.5000 0.2586
O1 O 0.0479 0.2535 0.3008
O2 O 0.2504 0.0000 0.1576
# **E_form (uncorrected)**: -14.3 eV/f.u.

Record 3
# HfScCu3 (PBE, optimized geometry)
data_HfScCu3
_cell_length_a 12.8890
_cell_length_b 4.6126
_cell_length_c 5.5268
_cell_angle_alpha 90.00
_cell_angle_beta 101.61
_cell_angle_gamma 90.00
_symmetry_space_group_name_H-M 'C 1 2/m 1'
_symmetry_Int_Tables_number 12
loop_
_symmetry_equiv_pos_as_xyz
'x,y,z'
'-x,-y,-z'
'-x,y,-z'
'x,-y,z'
'x+1/2,y+1/2,z'
'-x+1/2,-y+1/2,-z'
'-x+1/2,y+1/2,-z'
'x+1/2,-y+1/2,z'
loop_
_atom_site_label
_atom_site_type_symbol
_atom_site_fract_x
_atom_site_fract_y
_atom_site_fract_z
Hf1 Hf 0.1907 0.0000 0.1064
Sc1 Sc 0.1092 0.5000 0.4243
Cu1 Cu 0.0037 0.0000 0.7467
Cu2 Cu 0.0879 0.5000 0.9135
Cu3 Cu 0.1844 0.0000 0.6145
# **Formation energy from the elements**: -0.11 eV/atom
# **Relative energy among the computed polymorphs**: 0 kJ/mol of formula units

Record 4
# MnCuSn2 (PBE, optimized geometry)
data_MnCuSn2
_cell_length_a 4.8252
_cell_length_b 4.8252
_cell_length_c 3.2507
_cell_angle_alpha 90.00
_cell_angle_beta 90.00
_cell_angle_gamma 90.00
_symmetry_space_group_name_H-M 'P 4/m m m'
_symmetry_Int_Tables_number 123
_symmetry_space_group_name_Hall '-P 4 2'
loop_
_atom_site_label
_atom_site_type_symbol
_atom_site_fract_x
_atom_site_fract_y
_atom_site_fract_z
Mn1 Mn 0.0000 0.0000 0.0000
Cu1 Cu 0.5000 0.5000 0.0000
Sn1 Sn 0.0000 0.5000 0.5000
# **Formation energy from the elements**: 0.21 eV/atom

Record 5
# Tc2BTe (PBE, optimized geometry)
data_Tc2BTe
_cell_length_a 4.6714
_cell_length_b 4.6714
_cell_length_c 13.1978
_cell_angle_alpha 90.00
_cell_angle_beta 90.00
_cell_angle_gamma 90.00
_symmetry_space_group_name_H-M 'I -4 2 d'
_symmetry_Int_Tables_number 122
_symmetry_space_group_name_Hall 'I -4 2bw'
loop_
_atom_site_label
_atom_site_type_symbol
_atom_site_fract_x
_atom_site_fract_y
_atom_site_fract_z
Tc1 Tc 0.1295 0.2500 0.1250
B1 B 0.0000 0.0000 0.0000
Te1 Te 0.0000 0.0000 0.5000
# **Relative energy among the computed polymorphs**: 0 kJ/mol of formula units
# **E_form (uncorrected)**: 2.2 eV/f.u.

Record 6
# HfZn2Ge2 (PBE, optimized geometry)
data_HfZn2Ge2
_cell_length_a 7.2649
_cell_length_b 7.2649
_cell_length_c 3.3486
_cell_angle_alpha 90.00
_cell_angle_beta 90.00
_cell_angle_gamma 90.00
_symmetry_space_group_name_H-M 'P 4/m b m'
_symmetry_Int_Tables_number 127
_symmetry_space_group_name_Hall '-P 4 2ab'
loop_
_atom_site_label
_atom_site_type_symbol
_atom_site_fract_x
_atom_site_fract_y
_atom_site_fract_z
Hf1 Hf 0.0000 0.0000 0.0000
Zn1 Zn 0.1495 0.3505 0.5000
Ge1 Ge 0.1480 0.6480 0.0000
# **Formation energy from the elements**: -0.01 eV/atom
# **Relative energy among the computed polymorphs**: 120 kJ/mol of formula units

Record 7
# TmBiTe3 (PBE, optimized geometry)
data_TmBiTe3
_cell_length_a 8.1558
_cell_length_b 4.4844
_cell_length_c 11.8698
_cell_angle_alpha 90.00
_cell_angle_beta 105.69
_cell_angle_gamma 90.00
_symmetry_space_group_name_H-M 'P 1 21/m 1'
_symmetry_Int_Tables_number 11
loop_
_symmetry_equiv_pos_as_xyz
'x,y,z'
'-x,-y,-z'
'-x,y+1/2,-z'
'x,-y+1/2,z'
loop_
_atom_site_label
_atom_site_type_symbol
_atom_site_fract_x
_atom_site_fract_y
_atom_site_fract_z
Tm1 Tm 0.0105 0.2500 0.3352
Bi1 Bi 0.4858 0.2500 0.8267
Te1 Te 0.1712 0.7500 0.2379
Te2 Te 0.2049 0.2500 0.5929
Te3 Te 0.2835 0.7500 0.9018
# **Relative energy among the computed polymorphs**: 63 kJ/mol of formula units
# **E_form (uncorrected)**: -3.3 eV/f.u.

Record 8
# TaW2Au (PBE, optimized geometry)
data_TaW2Au
_cell_length_a 5.5970
_cell_length_b 9.4281
_cell_length_c 2.7488
_cell_angle_alpha 90.00
_cell_angle_beta 110.62
_cell_angle_gamma 90.00
_symmetry_space_group_name_H-M 'C 1 2/m 1'
_symmetry_Int_Tables_number 12
loop_
_symmetry_equiv_pos_as_xyz
'x,y,z'
'-x,-y,-z'
'-x,y,-z'
'x,-y,z'
'x+1/2,y+1/2,z'
'-x+1/2,-y+1/2,-z'
'-x+1/2,y+1/2,-z'
'x+1/2,-y+1/2,z'
loop_
_atom_site_label
_atom_site_type_symbol
_atom_site_fract_x
_atom_site_fract_y
_atom_site_fract_z
Ta1 Ta 0.0000 0.0000 0.0000
W1 W 0.2500 0.2500 0.5000
Au1 Au 0.0000 0.5000 0.0000
# **Formation energy from the elements**: 0.26 eV/atom
# **Relative energy among the computed polymorphs**: 61 kJ/mol of formula units

Record 9
# Rb4Pr3ErO8 (PBE, optimized geometry)
data_Rb4Pr3ErO8
_cell_length_a 7.2957
_cell_length_b 7.2957
_cell_length_c 19.8219
_cell_angle_alpha 90.00
_cell_angle_beta 90.00
_cell_angle_gamma 120.00
_symmetry_space_group_name_H-M 'R -3 m'
_symmetry_Int_Tables_number 166
_symmetry_space_group_name_Hall '-R 3 2"'
loop_
_atom_site_label
_atom_site_type_symbol
_atom_site_fract_x
_atom_site_fract_y
_atom_site_fract_z
Rb1 Rb 0.0000 0.0000 0.0000
Rb2 Rb 0.0000 0.5000 0.0000
Pr1 Pr 0.0000 0.5000 0.5000
Er1 Er 0.0000 0.0000 0.5000
O1 O 0.0000 0.0000 0.2276
O2 O 0.0128 0.5064 0.2263
# **E_form (uncorrected)**: -41.0 eV/f.u.

Record 10
# Na2S2O3 (PBE, optimized geometry)
data_Na2S2O3
_cell_length_a 6.5227
_cell_length_b 7.8423
_cell_length_c 8.7505
_cell_angle_alpha 97.27
_cell_angle_beta 93.20
_cell_angle_gamma 108.12
_symmetry_space_group_name_H-M 'P 1'
_symmetry_Int_Tables_number 1
loop_
_symmetry_equiv_pos_as_xyz
'x,y,z'
loop_
_atom_site_label
_atom_site_type_symbol
_atom_site_fract_x
_atom_site_fract_y
_atom_site_fract_z
Na1 Na 0.0000 0.0000 0.0000
Na2 Na 0.0925 0.7161 0.5783
Na3 Na 0.2580 0.6360 0.0100
Na4 Na 0.3963 0.1258 0.6056
Na5 Na 0.5634 0.2560 0.1781
Na6 Na 0.8793 0.0285 0.4253
S1 S 0.3477 0.9000 0.2936
S2 S 0.4873 0.8469 0.7768
S3 S 0.5571 0.7170 0.5806
S4 S 0.5899 0.4670 0.8736
S5 S 0.6801 0.4973 0.6589
S6 S 0.8129 0.6194 0.0512
O1 O 0.0324 0.3143 0.3120
O2 O 0.0543 0.1477 0.6891
O3 O 0.0602 0.9922 0.7354
O4 O 0.1575 0.9044 0.3911
O5 O 0.2179 0.3321 0.0736
O6 O 0.2909 0.4149 0.2143
O7 O 0.2978 0.9539 0.1356
O8 O 0.5404 0.0644 0.3760
O9 O 0.9133 0.2123 0.1896
# **Relative energy among the computed polymorphs**: 426 kJ/mol of formula units
# **E_form (uncorrected)**: -5.7 eV/f.u.

Record 11
# AlFe2Br (PBE, optimized geometry)
data_AlFe2Br
_cell_length_a 5.9767
_cell_length_b 5.9767
_cell_length_c 5.9767
_cell_angle_alpha 90.00
_cell_angle_beta 90.00
_cell_angle_gamma 90.00
_symmetry_space_group_name_H-M 'F m -3 m'
_symmetry_Int_Tables_number 225
_symmetry_space_group_name_Hall '-F 4 2 3'
loop_
_atom_site_label
_atom_site_type_symbol
_atom_site_fract_x
_atom_site_fract_y
_atom_site_fract_z
Al1 Al 0.0000 0.0000 0.0000
Fe1 Fe 0.2500 0.2500 0.2500
Br1 Br 0.0000 0.0000 0.5000
# **Relative energy among the computed polymorphs**: 253 kJ/mol of formula units
# **E_form (uncorrected)**: 3.1 eV/f.u.

Record 12
# BaY2ZnPb (PBE, optimized geometry)
data_BaY2ZnPb
_cell_length_a 5.8953
_cell_length_b 5.8953
_cell_length_c 6.0389
_cell_angle_alpha 90.00
_cell_angle_beta 90.00
_cell_angle_gamma 90.00
_symmetry_space_group_name_H-M 'P 4/m m m'
_symmetry_Int_Tables_number 123
_symmetry_space_group_name_Hall '-P 4 2'
loop_
_atom_site_label
_atom_site_type_symbol
_atom_site_fract_x
_atom_site_fract_y
_atom_site_fract_z
Ba1 Ba 0.0000 0.0000 0.0000
Y1 Y 0.0000 0.5000 0.0000
Zn1 Zn 0.5000 0.5000 0.5000
Pb1 Pb 0.0000 0.0000 0.5000
# **Formation energy from the elements**: 1.22 eV/atom

| no. | raw total energy (eV/atom) | V (Å³/f.u.) |
| --- | --- | --- |
| 1 | -7.4543 | 178.6 |
| 2 | -6.7076 | 124.7 |
| 3 | -5.8236 | 80.5 |
| 4 | -5.1060 | 75.7 |
| 5 | -7.0955 | 72.0 |
| 6 | -4.3522 | 88.4 |
| 7 | -4.2115 | 209.0 |
| 8 | -10.0033 | 67.9 |
| 9 | -6.4651 | 304.6 |
| 10 | -4.4901 | 139.9 |
| 11 | -4.8122 | 53.4 |
| 12 | -2.7508 | 209.9 |